1.
InAgTe3 after structural relaxation. Source: Alexandria, functional GGA-PBEsol.

VASP energy in Ry per atom: -0.1966
Total magnetization in Bohr magnetons per cell: 0.00
Energy relative to the elements, uncorrected in eV per atom: 0.700
D(E_F) in states/eV/atom: 1.090
Space group: No. 221

Cell: 5.5731 5.5731 5.5731 Å, 90.00 90.00 90.00°
With the nearest neighbours (Å) after each atom.
Sites, in units of the cell vectors:
Te (0.0000, 0.5000, 0.0000)  2 In 2.79
Te (0.0000, 0.0000, 0.5000)  2 In 2.79
Te (0.5000, 0.0000, 0.0000)  2 In 2.79
Ag (0.5000, 0.5000, 0.5000)  12 Te 3.94
In (0.0000, 0.0000, 0.0000)  6 Te 2.79

---

2.
InRuBr2 after structural relaxation. Source: Alexandria, functional GGA-PBEsol.

VASP energy in Ry per atom: -0.2628
Total magnetization in Bohr magnetons per cell: 2.38
ΔE to the lowest computed polymorph in meV/atom: 477
Energy relative to the elements, uncorrected in eV per atom: 0.649
D(E_F) in states/eV/atom: 1.360
Space group: No. 119

Cell: 4.0546 4.0546 6.1631 Å, 109.20 109.20 90.00°
With the nearest neighbours (Å) after each atom.
Sites, in units of the cell vectors:
Ru (0.2500, 0.7500, 0.5000)  4 Br 2.87
Br (0.0000, 0.0000, 0.0000)  4 In 2.87
Br (0.7500, 0.2500, 0.5000)  4 Ru 2.87
In (0.5000, 0.5000, 0.0000)  4 Br 2.87